1.
First-principles (GGA-PBE) data for a relaxed structure of PuScMoIr, as listed in Alexandria via LeMat-Bulk.

Lattice parameters (Å, degrees): 4.6989 4.6989 4.6989 60.00 60.00 60.00
Each line ends with the local moment (μB).
Atoms (fractional coordinates):
Sc: 0.2500 0.2500 0.2500  -0.04
Mo: 0.0000 0.0000 0.0000  -0.69
Ir: 0.5000 0.5000 0.5000  -0.17
Pu: 0.7500 0.7500 0.7500  4.61

Summary:
Spin magnetization in μB/f.u.: 3.74
Energy relative to the elements in eV per atom: -0.273
DOS at the Fermi energy in states/eV per cell: 4.7

2.
First-principles (GGA-PBE) data for a relaxed structure of Cu6PdAu, as listed in Alexandria via LeMat-Bulk.

Lattice parameters (Å, degrees): 4.3320 5.3057 5.3057 119.99 90.00 90.00
Atoms (fractional coordinates):
Cu: 0.0000 0.0784 0.4140
Cu: 0.0000 0.5860 0.9216
Cu: 0.0000 0.5858 0.4142
Cu: 0.5000 0.4278 0.0892
Cu: 0.5000 0.9108 0.5722
Cu: 0.5000 0.9110 0.0890
Pd: 0.5000 0.4164 0.5836
Au: 0.0000 0.0835 0.9165

Summary:
Energy above the lowest structure with this stoichiometry in meV per atom: 18.3
Spin magnetization in μB/f.u.: 0.00
Energy relative to the elements in eV per atom: -0.061
DOS at the Fermi energy in states/eV per cell: 1.3

3.
First-principles (GGA-PBE) data for a relaxed structure of RbCaSbI6, as listed in Alexandria via LeMat-Bulk.

Lattice parameters (Å, degrees): 8.0174 8.0183 8.1764 90.01 90.01 60.00
Atoms (fractional coordinates):
Rb: 0.0000 0.0000 0.9999
Ca: 0.6667 0.6667 0.5000
Sb: 0.3333 0.3333 0.5000
I: 0.0085 0.3668 0.2808
I: 0.3668 0.0085 0.7192
I: 0.6247 0.3668 0.7192
I: 0.0084 0.6247 0.7192
I: 0.3668 0.6247 0.2808
I: 0.6247 0.0085 0.2808

Summary:
Spin magnetization in μB/f.u.: 0.00
Formation energy without anion corrections in eV per atom: -1.02
DOS at the Fermi energy in states/eV per cell: 0.0